The following is a PBE calculation of a relaxed structure of Cr6Ni23Mo, from the Alexandria database.

a b c (Å): 7.0498 8.6097 8.6097
angles (deg): 48.34 65.83 65.83
With the nearest neighbours (Å) after each atom.
Positions (direct):
Cr 0.7548 0.7548 0.2452  11 Ni 2.44-2.56, 1 Mo 2.54
Cr 0.2452 0.2452 0.7548  11 Ni 2.44-2.56, 1 Mo 2.54
Cr 0.7492 0.2508 0.2508  12 Ni 2.46-2.49
Cr 0.2508 0.7492 0.7492  12 Ni 2.46-2.49
Cr 0.7548 0.2452 0.7548  11 Ni 2.44-2.56, 1 Mo 2.54
Cr 0.2452 0.7548 0.2452  11 Ni 2.44-2.56, 1 Mo 2.54
Ni 0.6221 0.1274 0.1275  8 Ni 2.46-2.51, 3 Cr 2.47-2.49
Ni 0.3779 0.8726 0.8725  8 Ni 2.46-2.51, 3 Cr 2.47-2.49
Ni 0.1275 0.1230 0.6221  8 Ni 2.46-2.51, 3 Cr 2.47-2.49
Ni 0.1230 0.1275 0.1274  8 Ni 2.46-2.51, 3 Cr 2.47-2.49
Ni 0.8725 0.8770 0.3779  8 Ni 2.46-2.51, 3 Cr 2.47-2.49
Ni 0.8770 0.8725 0.8726  8 Ni 2.46-2.51, 3 Cr 2.47-2.49
Ni 0.1274 0.6221 0.1230  8 Ni 2.46-2.51, 3 Cr 2.47-2.49
Ni 0.8726 0.3779 0.8770  8 Ni 2.46-2.51, 3 Cr 2.47-2.49
Ni 0.5000 0.5000 0.0000  8 Ni 2.44-2.46, 2 Cr 2.49
Ni 0.0000 0.0000 0.5000  8 Ni 2.44-2.46, 2 Cr 2.49
Ni 0.5000 0.0000 0.0000  4 Cr 2.49, 8 Ni 2.51
Ni 0.0000 0.5000 0.5000  4 Cr 2.49, 8 Ni 2.51
Ni 0.5000 0.0000 0.5000  8 Ni 2.44-2.46, 2 Cr 2.49
Ni 0.0000 0.5000 0.0000  8 Ni 2.44-2.46, 2 Cr 2.49
Ni 0.8852 0.3704 0.3704  7 Ni 2.44-2.55, 3 Cr 2.46-2.56, 1 Mo 2.56
Ni 0.1148 0.6296 0.6296  7 Ni 2.44-2.55, 3 Cr 2.46-2.56, 1 Mo 2.56
Ni 0.3704 0.3740 0.8852  7 Ni 2.44-2.55, 3 Cr 2.46-2.56, 1 Mo 2.56
Ni 0.3740 0.3704 0.3704  7 Ni 2.44-2.55, 3 Cr 2.46-2.56, 1 Mo 2.56
Ni 0.6296 0.6260 0.1148  7 Ni 2.44-2.55, 3 Cr 2.46-2.56, 1 Mo 2.56
Ni 0.6260 0.6296 0.6296  7 Ni 2.44-2.55, 3 Cr 2.46-2.56, 1 Mo 2.56
Ni 0.3704 0.8852 0.3740  7 Ni 2.44-2.55, 3 Cr 2.46-2.56, 1 Mo 2.56
Ni 0.6296 0.1148 0.6260  7 Ni 2.44-2.55, 3 Cr 2.46-2.56, 1 Mo 2.56
Ni 0.0000 0.0000 0.0000  4 Cr 2.44, 8 Ni 2.51
Mo 0.5000 0.5000 0.5000  4 Cr 2.54, 8 Ni 2.56

## Properties
DOS(E_F)	1.36	states/eV/atom
crystal system	tetragonal
magnetic moment	5.9	μB per cell
DFT formation energy	0.099	eV/atom
symmetry	No. 139

***

The following is a PBE calculation of a relaxed structure of Cr3Ni12Mo, from the Alexandria database.

a b c (Å): 3.5776 3.5776 14.3400
angles (deg): 90.00 90.00 90.00
With the nearest neighbours (Å) after each atom.
Positions (direct):
Cr 0.0000 0.0000 0.2560  12 Ni 2.49-2.58
Cr 0.0000 0.0000 0.5000  12 Ni 2.51-2.53
Cr 0.0000 0.0000 0.7440  12 Ni 2.49-2.58
Ni 0.5000 0.5000 0.0000  4 Mo 2.53, 8 Ni 2.54
Ni 0.5000 0.5000 0.2512  4 Cr 2.53, 8 Ni 2.53-2.54
Ni 0.5000 0.5000 0.5000  8 Ni 2.51, 4 Cr 2.53
Ni 0.5000 0.5000 0.7488  4 Cr 2.53, 8 Ni 2.53-2.54
Ni 0.5000 0.0000 0.1262  8 Ni 2.53-2.54, 2 Mo 2.54, 2 Cr 2.58
Ni 0.5000 0.0000 0.3768  4 Cr 2.49-2.51, 8 Ni 2.51-2.54
Ni 0.5000 0.0000 0.6232  4 Cr 2.49-2.51, 8 Ni 2.51-2.54
Ni 0.5000 0.0000 0.8738  8 Ni 2.53-2.54, 2 Mo 2.54, 2 Cr 2.58
Ni 0.0000 0.5000 0.1262  8 Ni 2.53-2.54, 2 Mo 2.54, 2 Cr 2.58
Ni 0.0000 0.5000 0.3768  4 Cr 2.49-2.51, 8 Ni 2.51-2.54
Ni 0.0000 0.5000 0.6232  4 Cr 2.49-2.51, 8 Ni 2.51-2.54
Ni 0.0000 0.5000 0.8738  8 Ni 2.53-2.54, 2 Mo 2.54, 2 Cr 2.58
Mo 0.0000 0.0000 0.0000  12 Ni 2.53-2.54

## Properties
DOS(E_F)	1.06	states/eV/atom
crystal system	tetragonal
magnetic moment	8.5	μB per cell
DFT formation energy	-0.004	eV/atom
symmetry	No. 123

***

The following is a PBE calculation of a relaxed structure of Cr2Ni15Mo2, from the Alexandria database.

a b c (Å): 6.1624 6.1624 6.1624
angles (deg): 80.93 80.93 80.93
With the nearest neighbours (Å) after each atom.
Positions (direct):
Cr 0.9075 0.9075 0.9075  1 Cr 2.27, 1 Mo 2.47, 3 Ni 2.48
Cr 0.0925 0.0925 0.0925  1 Cr 2.27, 1 Mo 2.47, 3 Ni 2.48
Ni 0.0000 0.5000 0.0000  8 Ni 2.33-2.40, 2 Cr 2.48
Ni 0.0000 0.0000 0.5000  8 Ni 2.33-2.40, 2 Cr 2.48
Ni 0.5000 0.0000 0.0000  8 Ni 2.33-2.40, 2 Cr 2.48
Ni 0.3167 0.0000 0.6833  8 Ni 2.40-2.53
Ni 0.6833 0.3167 0.0000  8 Ni 2.40-2.53
Ni 0.0000 0.6833 0.3167  8 Ni 2.40-2.53
Ni 0.3167 0.6833 0.0000  8 Ni 2.40-2.53
Ni 0.0000 0.3167 0.6833  8 Ni 2.40-2.53
Ni 0.6833 0.0000 0.3167  8 Ni 2.40-2.53
Ni 0.3441 0.8383 0.3441  8 Ni 2.29-2.50, 1 Cr 2.55
Ni 0.3441 0.3441 0.8383  8 Ni 2.29-2.50, 1 Cr 2.55
Ni 0.8383 0.3441 0.3441  8 Ni 2.29-2.50, 1 Cr 2.55
Ni 0.6559 0.1617 0.6559  8 Ni 2.29-2.50, 1 Cr 2.55
Ni 0.6559 0.6559 0.1617  8 Ni 2.29-2.50, 1 Cr 2.55
Ni 0.1617 0.6559 0.6559  8 Ni 2.29-2.50, 1 Cr 2.55
Mo 0.7056 0.7056 0.7056  1 Cr 2.47, 3 Ni 2.75
Mo 0.2944 0.2944 0.2944  1 Cr 2.47, 3 Ni 2.75

## Properties
DOS(E_F)	1.48	states/eV/atom
crystal system	trigonal
magnetic moment	5.6	μB per cell
DFT formation energy	0.152	eV/atom
symmetry	No. 166

***

The following is a PBE calculation of a relaxed structure of CrNiMo2, from the Alexandria database.

a b c (Å): 2.6229 2.6229 8.3030
angles (deg): 90.00 90.00 106.53
With the nearest neighbours (Å) after each atom.
Positions (direct):
Cr 0.5000 0.5000 0.7500  4 Mo 2.62, 4 Cr 2.62
Mo 0.0000 0.0000 0.0029  2 Ni 2.58, 2 Cr 2.62, 4 Mo 2.62
Mo 0.0000 0.0000 0.4971  2 Ni 2.58, 2 Cr 2.62, 4 Mo 2.62
Ni 0.5000 0.5000 0.2500  4 Mo 2.58, 4 Ni 2.62

## Properties
DOS(E_F)	1.16	states/eV/atom
crystal system	orthorhombic
magnetic moment	0.0	μB per cell
distance to the lowest polymorph of the same formula	0	meV per atom
DFT formation energy	0.092	eV/atom
symmetry	No. 65

***

The following is a PBE calculation of a relaxed structure of CrNiMo2, from the Alexandria database.

a b c (Å): 2.6212 2.6212 8.2698
angles (deg): 90.00 90.00 105.14
With the nearest neighbours (Å) after each atom.
Positions (direct):
Cr 0.5000 0.5000 0.7330  2 Ni 2.41, 4 Cr 2.62, 2 Mo 2.63
Mo 0.0000 0.0000 0.9866  6 Mo 2.62-2.81, 2 Cr 2.63
Mo 0.5000 0.5000 0.2664  2 Ni 2.59, 6 Mo 2.62-2.81
Ni 0.0000 0.0000 0.5140  2 Cr 2.41, 2 Mo 2.59, 4 Ni 2.62

## Properties
DOS(E_F)	1.21	states/eV/atom
crystal system	orthorhombic
magnetic moment	0.0	μB per cell
distance to the lowest polymorph of the same formula	16	meV per atom
DFT formation energy	0.108	eV/atom
symmetry	No. 35

***

The following is a PBE calculation of a relaxed structure of CrNi2Mo, from the Alexandria database.

a b c (Å): 4.5735 4.5735 4.5735
angles (deg): 133.70 133.75 67.52
With the nearest neighbours (Å) after each atom.
Positions (direct):
Ni 0.0000 0.0000 0.0000  4 Ni 2.54, 4 Mo 2.62, 4 Cr 2.62
Ni 0.5000 0.5000 0.0000  4 Ni 2.54, 4 Mo 2.62, 4 Cr 2.62
Mo 0.2500 0.7500 0.5000  4 Cr 2.54, 8 Ni 2.62
Cr 0.7500 0.2500 0.5000  4 Mo 2.54, 8 Ni 2.62

## Properties
DOS(E_F)	1.08	states/eV/atom
crystal system	tetragonal
magnetic moment	1.1	μB per cell
distance to the lowest polymorph of the same formula	11	meV per atom
DFT formation energy	0.025	eV/atom
symmetry	No. 139

***

The following is a PBE calculation of a relaxed structure of CrNiMo2, from the Alexandria database.

a b c (Å): 2.5452 3.9814 5.4635
angles (deg): 90.00 90.00 90.00
With the nearest neighbours (Å) after each atom.
Positions (direct):
Cr 0.5000 0.5000 0.7305  5 Mo 2.50-2.75, 2 Cr 2.55, 4 Ni 2.65
Mo 0.0000 0.0000 0.9863  6 Mo 2.55-2.83, 1 Ni 2.60, 4 Cr 2.75
Mo 0.5000 0.5000 0.2726  1 Cr 2.50, 2 Mo 2.55, 4 Ni 2.70
Ni 0.0000 0.0000 0.5106  2 Ni 2.55, 5 Mo 2.60-2.70, 4 Cr 2.65

## Properties
DOS(E_F)	1.21	states/eV/atom
crystal system	orthorhombic
magnetic moment	0.0	μB per cell
distance to the lowest polymorph of the same formula	146	meV per atom
DFT formation energy	0.239	eV/atom
symmetry	No. 25

***

The following is a PBE calculation of a relaxed structure of Cr2Ni9Mo, from the Alexandria database.

a b c (Å): 3.5915 3.5915 10.7582
angles (deg): 90.00 90.00 90.00
With the nearest neighbours (Å) after each atom.
Positions (direct):
Cr 0.0000 0.0000 0.3396  12 Ni 2.49-2.58
Cr 0.0000 0.0000 0.6604  12 Ni 2.49-2.58
Ni 0.5000 0.5000 0.0000  4 Mo 2.54, 8 Ni 2.54
Ni 0.5000 0.5000 0.3335  8 Ni 2.53-2.54, 4 Cr 2.54
Ni 0.5000 0.5000 0.6665  8 Ni 2.53-2.54, 4 Cr 2.54
Ni 0.5000 0.0000 0.1674  8 Ni 2.53-2.54, 2 Mo 2.54, 2 Cr 2.58
Ni 0.5000 0.0000 0.5000  4 Cr 2.49, 8 Ni 2.54
Ni 0.5000 0.0000 0.8326  8 Ni 2.53-2.54, 2 Mo 2.54, 2 Cr 2.58
Ni 0.0000 0.5000 0.1674  8 Ni 2.53-2.54, 2 Mo 2.54, 2 Cr 2.58
Ni 0.0000 0.5000 0.5000  4 Cr 2.49, 8 Ni 2.54
Ni 0.0000 0.5000 0.8326  8 Ni 2.53-2.54, 2 Mo 2.54, 2 Cr 2.58
Mo 0.0000 0.0000 0.0000  12 Ni 2.54

## Properties
DOS(E_F)	0.90	states/eV/atom
crystal system	tetragonal
magnetic moment	6.3	μB per cell
DFT formation energy	-0.004	eV/atom
symmetry	No. 123

***

The following is a PBE calculation of a relaxed structure of CrNiMo3, from the Alexandria database.

a b c (Å): 4.4203 4.4203 4.4203
angles (deg): 90.00 90.00 90.00
With the nearest neighbours (Å) after each atom.
Positions (direct):
Ni 0.5000 0.5000 0.5000  12 Mo 3.13
Mo 0.0000 0.5000 0.0000  2 Cr 2.21
Mo 0.0000 0.0000 0.5000  2 Cr 2.21
Mo 0.5000 0.0000 0.0000  2 Cr 2.21
Cr 0.0000 0.0000 0.0000  6 Mo 2.21

## Properties
DOS(E_F)	1.01	states/eV/atom
crystal system	cubic
magnetic moment	0.0	μB per cell
distance to the lowest polymorph of the same formula	0	meV per atom
DFT formation energy	1.338	eV/atom
symmetry	No. 221

***

The following is a PBE calculation of a relaxed structure of CrNiMo2, from the Alexandria database.

a b c (Å): 3.1359 3.1359 5.5957
angles (deg): 90.00 90.00 90.00
With the nearest neighbours (Å) after each atom.
Positions (direct):
Cr 0.5000 0.5000 0.7399  4 Ni 2.57, 5 Mo 2.61-2.65
Mo 0.0000 0.0000 0.9872  4 Cr 2.61, 2 Ni 2.68-2.91, 4 Mo 2.71
Mo 0.5000 0.5000 0.2654  4 Ni 2.60, 1 Cr 2.65, 4 Mo 2.71
Ni 0.0000 0.0000 0.5075  4 Cr 2.57, 5 Mo 2.60-2.68

## Properties
DOS(E_F)	1.10	states/eV/atom
crystal system	tetragonal
magnetic moment	1.0	μB per cell
distance to the lowest polymorph of the same formula	67	meV per atom
DFT formation energy	0.160	eV/atom
symmetry	No. 99

***

The following is a PBE calculation of a relaxed structure of CrNiMo2, from the Alexandria database.

a b c (Å): 4.2977 4.2977 4.2977
angles (deg): 60.00 60.00 60.00
With the nearest neighbours (Å) after each atom.
Positions (direct):
Cr 0.5000 0.5000 0.5000  4 Ni 2.63, 4 Mo 2.63
Mo 0.0000 0.0000 0.0000  4 Mo 2.63, 4 Ni 2.63
Mo 0.2500 0.2500 0.2500  4 Cr 2.63, 4 Mo 2.63
Ni 0.7500 0.7500 0.7500  4 Cr 2.63, 4 Mo 2.63

## Properties
DOS(E_F)	1.55	states/eV/atom
crystal system	cubic
magnetic moment	2.3	μB per cell
distance to the lowest polymorph of the same formula	127	meV per atom
DFT formation energy	0.219	eV/atom
symmetry	No. 216

***

The following is a PBE calculation of a relaxed structure of CrNi2Mo, from the Alexandria database.

a b c (Å): 4.1375 4.1375 4.1375
angles (deg): 60.00 60.00 60.00
With the nearest neighbours (Å) after each atom.
Positions (direct):
Cr 0.5000 0.5000 0.5000  4 Ni 2.53, 4 Mo 2.53
Mo 0.2500 0.2500 0.2500  4 Cr 2.53, 4 Ni 2.53
Ni 0.0000 0.0000 0.0000  4 Mo 2.53, 4 Ni 2.53
Ni 0.7500 0.7500 0.7500  4 Cr 2.53, 4 Ni 2.53

## Properties
DOS(E_F)	1.49	states/eV/atom
crystal system	cubic
magnetic moment	1.9	μB per cell
distance to the lowest polymorph of the same formula	146	meV per atom
DFT formation energy	0.160	eV/atom
symmetry	No. 216

***

How do the records compare in raw total energy? In the order shown, they have -6.619 -6.821 -6.565 -9.174 -9.159 -7.979 -9.028 -6.846 -8.242 -9.107 -9.047 -7.845 eV per atom.